# 1
! CaAc5Pb6 PBE-GGA relaxed; values from VASP
&SYSTEM
  ibrav = 0, nat = 12, ntyp = 3
/
ATOMIC_SPECIES
Pb 207.20 Pb.upf
Ac 227.00 Ac.upf
Ca 40.08 Ca.upf
CELL_PARAMETERS angstrom
-5.702 -1.570 1.506
-2.992 -5.960 7.164
-3.392 3.516 9.599
ATOMIC_POSITIONS crystal
Pb 0.273 0.600 0.316
Ac 0.467 0.173 0.656
Pb 0.727 0.400 0.684
Ac 0.989 0.669 0.665
Pb 0.734 0.766 0.000
Pb 0.266 0.234 0.000
Pb 0.792 0.081 0.316
Pb 0.208 0.919 0.684
Ac 0.533 0.827 0.344
Ca 0.000 0.000 0.000
Ac 0.500 0.500 0.000
Ac 0.011 0.331 0.335
! - space-group type = P-1, No. 2
! - formation energy from the elements (eV per atom) = -0.4953



# 2
! LiPrTl PBE-GGA relaxed; values from VASP
&SYSTEM
  ibrav = 0, nat = 6, ntyp = 3
/
ATOMIC_SPECIES
Li 6.94 Li.upf
Tl 204.38 Tl.upf
Pr 140.91 Pr.upf
CELL_PARAMETERS angstrom
-3.753 -2.427 -1.433
2.599 -4.301 0.478
-0.065 0.703 6.680
ATOMIC_POSITIONS crystal
Li 0.762 0.750 0.523
Tl 0.614 0.250 0.229
Pr 0.902 0.250 0.803
Tl 0.386 0.750 0.771
Li 0.238 0.250 0.477
Pr 0.098 0.750 0.197
! - space-group type = P2_1/m, No. 11
! - formation energy from the elements (eV per atom) = -0.2546



# 3
! SnBiAs PBE-GGA relaxed; values from VASP
&SYSTEM
  ibrav = 0, nat = 3, ntyp = 3
/
ATOMIC_SPECIES
As 74.92 As.upf
Bi 208.98 Bi.upf
Sn 118.71 Sn.upf
CELL_PARAMETERS angstrom
-2.383 -0.664 -1.929
1.619 -2.420 -1.166
-3.098 -3.734 7.663
ATOMIC_POSITIONS crystal
As 0.775 0.775 0.551
Bi 0.939 0.939 0.878
Sn 0.136 0.136 0.271
! - space-group type = I4mm, No. 107
! - formation energy from the elements (eV per atom) = 0.2335



| no. | energy above the lowest structure with this stoichiometry (meV/atom) |
| --- | --- |
| 1 | 0 |
| 2 | 35 |
| 3 | 207 |